[1]
{"formula": "TiSn3Pb", "functional": "SCAN", "state": "single point on PBEsol structure", "cell": [[5.613, 0.000, 0.000], [0.000, 5.613, 0.000], [0.000, 0.000, 5.613]], "species": ["Ti", "Sn", "Sn", "Sn", "Pb"], "frac_coords": [[0.000, 0.000, 0.000], [0.000, 0.500, 0.500], [0.500, 0.000, 0.500], [0.500, 0.500, 0.000], [0.500, 0.500, 0.500]], "dos_ef_per_ev_atom": 0.78, "space_group": "Pm-3m (221)", "formation_enthalpy_0k_mev_per_atom": 1120, "m_tot_mub_per_fu": 2.665}

***

[2]
{"formula": "Rb3MgNi", "functional": "SCAN", "state": "single point on PBEsol structure", "cell": [[6.261, 0.000, 0.000], [0.000, 6.261, 0.000], [0.000, 0.000, 6.261]], "species": ["Rb", "Rb", "Rb", "Mg", "Ni"], "frac_coords": [[0.000, 0.000, 0.500], [0.000, 0.500, 0.000], [0.500, 0.000, 0.000], [0.500, 0.500, 0.500], [0.000, 0.000, 0.000]], "dos_ef_per_ev_atom": 1.52, "space_group": "Pm-3m (221)", "formation_enthalpy_0k_mev_per_atom": 676, "m_tot_mub_per_fu": 0.745}

***

[3]
{"formula": "BaSc2P2", "functional": "SCAN", "state": "single point on PBEsol structure", "cell": [[-2.156, 2.156, 6.540], [2.156, -2.156, 6.540], [2.156, 2.156, -6.540]], "species": ["Ba", "Sc", "Sc", "P", "P"], "frac_coords": [[0.000, 0.000, 0.000], [0.250, 0.750, 0.500], [0.750, 0.250, 0.500], [0.363, 0.363, 0.000], [0.637, 0.637, 0.000]], "dos_ef_per_ev_atom": 0.47, "space_group": "I4/mmm (139)", "formation_enthalpy_0k_mev_per_atom": -1251, "m_tot_mub_per_fu": 1.299}

***

[4]
{"formula": "TlCuRh2", "functional": "SCAN", "state": "single point on PBEsol structure", "cell": [[0.000, 3.112, 3.112], [3.112, 0.000, 3.112], [3.112, 3.112, 0.000]], "species": ["Tl", "Cu", "Rh", "Rh"], "frac_coords": [[0.000, 0.000, 0.000], [0.250, 0.250, 0.250], [0.500, 0.500, 0.500], [0.750, 0.750, 0.750]], "dos_ef_per_ev_atom": 0.89, "space_group": "F-43m (216)", "formation_enthalpy_0k_mev_per_atom": 264, "m_tot_mub_per_fu": 1.195}